No. 1
Density functional theory data (PBE) for a geometry-optimized KNb2Cr structure.

Cell and atoms, written as POSCAR:
```
KNb2Cr
1.0
-1.309 5.878 -1.623
-1.710 1.239 5.868
4.632 5.318 3.541
Nb K Cr
4 2 2
direct
0.875 0.625 0.250
0.875 0.125 0.750
0.375 0.125 0.750
0.875 0.125 0.250
0.250 0.750 0.500
0.500 0.500 0.000
0.000 0.000 0.000
0.750 0.250 0.500
```

- E_form: 1.725 eV/atom
- Fermi-level density of states: 10.41 states/eV/cell
- V: 31.82 Å³/atom
- E above lowest polymorph: 241 meV per atom
- Space group: I4_1/amd
- Magnetization: 0.00 μB per formula unit



No. 2
Density functional theory data (PBE) for a geometry-optimized K2NbCr structure.

Cell and atoms, written as POSCAR:
```
K2NbCr
1.0
-3.038 0.749 4.896
-4.924 3.083 -0.080
-5.113 -2.673 0.684
Nb Cr K
1 1 2
direct
0.500 0.500 0.500
0.000 0.000 0.000
0.750 0.750 0.750
0.250 0.250 0.250
```

- E_form: 1.672 eV/atom
- Fermi-level density of states: 2.17 states/eV/cell
- V: 34.67 Å³/atom
- E above lowest polymorph: 232 meV per atom
- Space group: Fm-3m
- Magnetization: 0.66 μB per formula unit



No. 3
Density functional theory data (PBE) for a geometry-optimized K2NbCr structure.

Cell and atoms, written as POSCAR:
```
K2NbCr
1.0
-1.905 -5.184 11.278
6.458 -10.158 -3.578
4.232 -6.701 4.626
K Cr Nb
4 2 2
direct
0.279 0.625 0.250
0.471 0.125 0.250
0.875 0.721 0.750
0.375 0.529 0.750
0.500 0.500 0.000
0.250 0.750 0.500
0.750 0.250 0.500
0.000 0.000 0.000
```

- E_form: 1.440 eV/atom
- Fermi-level density of states: 9.93 states/eV/cell
- V: 45.65 Å³/atom
- E above lowest polymorph: 0 meV per atom
- Space group: I-42d
- Magnetization: 0.67 μB per formula unit



No. 4
Density functional theory data (PBE) for a geometry-optimized KNb2CrNi structure.

Cell and atoms, written as POSCAR:
```
KNb2CrNi
1.0
4.632 0.000 0.000
0.000 4.843 0.000
0.000 0.000 4.632
Nb Cr K Ni
2 1 1 1
direct
0.000 0.000 0.500
0.500 0.000 0.000
0.000 0.000 0.000
0.500 0.500 0.500
0.000 0.500 0.000
```

- E_form: 1.147 eV/atom
- Fermi-level density of states: 5.19 states/eV/cell
- V: 20.78 Å³/atom
- Space group: P4/mmm
- Magnetization: 0.00 μB per formula unit



> What is the formula in the fourth record?

KNb2CrNi



> What is the Fermi-level density of states in the third record?

9.93 states/eV/cell



> Which of these has the lowest Fermi-level density of states?

number 2